# Sc2CdAg SCAN single point on PBEsol structure
# - E: -268.31 eV/cell
data_Sc2CdAg
_chemical_formula_sum 'Sc6 Cd3 Ag3'
_space_group_name_H-M_alt 'R -3 m'
_space_group_IT_number 166
_space_group_name_Hall '-R 3 2"'
_cell_length_a 3.0444
_cell_length_b 3.0444
_cell_length_c 32.3172
_cell_angle_alpha 90.00
_cell_angle_beta 90.00
_cell_angle_gamma 120.00
loop_
_atom_site_label
_atom_site_fract_x
_atom_site_fract_y
_atom_site_fract_z
Sc1 0.0000 0.0000 0.0934
Cd1 0.0000 0.0000 0.0000
Ag1 0.0000 0.0000 0.5000